# NiBi2MoO6

NiBi2MoO6 after structural relaxation (GGA+U, Alexandria via LeMat-Bulk).

Unit cell a=5.642 b=5.823 c=9.689 alpha=90.00 beta=125.04 gamma=90.00
Space group P2_1/c (No. 14)
Symmetry-distinct sites (fractional):
Ni 0.000 0.000 0.000
Bi 0.237 0.061 0.729
Mo 0.500 0.000 0.500
O 0.149 0.036 0.254
O 0.205 0.685 0.031
O 0.364 0.219 0.065

Properties
* E_tot: -120.85 eV per cell